*1*
The following is a PBE-GGA calculation of a geometry-optimized Pr2SmRu structure, from Alexandria via LeMat-Bulk.

Calculated values
Total magnetization ... 0.00 μB per cell
Crystal system ... tetragonal

Unit cell a=3.5495 b=3.5495 c=9.3720 alpha=90.00 beta=90.00 gamma=90.00
Element x y z (fractional)
Ru 0.5000 0.5000 0.0000
Pr 0.0000 0.0000 0.1843
Pr 0.0000 0.0000 0.8157
Sm 0.5000 0.5000 0.5000

*2*
The following is a PBE-GGA calculation of a geometry-optimized Pr2SmRu structure, from Alexandria via LeMat-Bulk.

Calculated values
Total magnetization ... 0.00 μB per cell
Crystal system ... trigonal

Unit cell a=3.7372 b=3.7372 c=10.8687 alpha=80.10 beta=80.10 gamma=60.00
Element x y z (fractional)
Ru 0.5000 0.5000 0.5000
Pr 0.1092 0.1092 0.6723
Pr 0.8908 0.8908 0.3277
Sm 0.0000 0.0000 0.0000

*3*
The following is a PBE-GGA calculation of a geometry-optimized Pr2SmRu structure, from Alexandria via LeMat-Bulk.

Calculated values
Total magnetization ... 0.00 μB per cell
Crystal system ... orthorhombic

Unit cell a=6.4763 b=7.4171 c=9.8473 alpha=90.00 beta=90.00 gamma=90.00
Element x y z (fractional)
Pr 0.8291 0.3239 0.5670
Pr 0.3291 0.1761 0.4330
Pr 0.6709 0.8239 0.5670
Pr 0.8291 0.3239 0.9330
Pr 0.1709 0.6761 0.0670
Pr 0.6709 0.8239 0.9330
Pr 0.3291 0.1761 0.0670
Pr 0.1709 0.6761 0.4330
Sm 0.6473 0.5435 0.2500
Sm 0.8527 0.0435 0.2500
Sm 0.3527 0.4565 0.7500
Sm 0.1473 0.9565 0.7500
Ru 0.4519 0.8850 0.2500
Ru 0.5481 0.1150 0.7500
Ru 0.9519 0.6150 0.7500
Ru 0.0481 0.3850 0.2500

Stability check: which of them is most stable? *3*.

*1*
The following is a PBE-GGA calculation of a geometry-optimized Pr6SnRu2 structure, from Alexandria via LeMat-Bulk.

Calculated values
Total magnetization ... 0.00 μB per cell
Crystal system ... monoclinic

Unit cell a=5.1790 b=5.9390 c=9.4802 alpha=78.58 beta=90.00 gamma=115.85
Element x y z (fractional)
Pr 0.3351 0.6702 0.3841
Pr 0.0303 0.0606 0.1530
Pr 0.9697 0.9394 0.8470
Pr 0.6649 0.3298 0.6159
Pr 0.7034 0.4067 0.1614
Pr 0.2967 0.5933 0.8386
Ru 0.3827 0.7655 0.0965
Ru 0.6173 0.2345 0.9035
Sn 0.0000 0.0000 0.5000

*2*
The following is a PBE-GGA calculation of a geometry-optimized Pr6SnRu2 structure, from Alexandria via LeMat-Bulk.

Calculated values
Total magnetization ... 0.00 μB per cell
Crystal system ... orthorhombic

Unit cell a=8.8276 b=8.8276 c=8.8276 alpha=104.42 beta=111.26 gamma=112.86
Element x y z (fractional)
Sn 0.0000 0.5000 0.5000
Sn 0.0000 0.0000 0.0000
Pr 0.7961 0.2369 0.0330
Pr 0.6871 0.0170 0.3298
Pr 0.2039 0.2369 0.4408
Pr 0.5300 0.7117 0.8183
Pr 0.8933 0.7117 0.1817
Pr 0.1067 0.2883 0.8183
Pr 0.4700 0.2883 0.1817
Pr 0.3129 0.9830 0.6702
Pr 0.6871 0.3573 0.6702
Pr 0.3129 0.6427 0.3298
Pr 0.7961 0.7631 0.5592
Pr 0.2039 0.7631 0.9670
Ru 0.5000 0.3728 0.8728
Ru 0.5000 0.6272 0.1272
Ru 0.3207 0.0000 0.3207
Ru 0.6793 0.0000 0.6793

Stability check: which of them is most stable? *2*.

*1*
The following is a PBE-GGA calculation of a geometry-optimized PrSn3Ru2 structure, from Alexandria via LeMat-Bulk.

Calculated values
Total magnetization ... 0.00 μB per cell
Crystal system ... trigonal

Unit cell a=7.4899 b=6.4107 c=6.4107 alpha=120.00 beta=90.00 gamma=90.00
Element x y z (fractional)
Sn 0.2656 0.1678 0.8322
Sn 0.7344 0.8322 0.1678
Sn 0.2656 0.1678 0.3356
Sn 0.2656 0.6644 0.8322
Sn 0.7344 0.8322 0.6644
Sn 0.7344 0.3356 0.1678
Pr 0.3491 0.6667 0.3333
Pr 0.6509 0.3333 0.6667
Ru 0.0000 0.0000 0.5000
Ru 0.0000 0.0000 0.0000
Ru 0.0000 0.5000 0.0000
Ru 0.0000 0.5000 0.5000

*2*
The following is a PBE-GGA calculation of a geometry-optimized PrSn3Ru2 structure, from Alexandria via LeMat-Bulk.

Calculated values
Total magnetization ... 0.00 μB per cell
Crystal system ... monoclinic

Unit cell a=4.3331 b=9.1736 c=10.6456 alpha=104.13 beta=90.00 gamma=103.66
Element x y z (fractional)
Ru 0.5081 0.0163 0.7711
Ru 0.2038 0.4076 0.0908
Ru 0.6412 0.2824 0.4388
Ru 0.7962 0.5924 0.9092
Ru 0.4919 0.9837 0.2289
Ru 0.3588 0.7176 0.5612
Sn 0.9471 0.8942 0.6519
Sn 0.2286 0.4572 0.3719
Sn 0.6368 0.2737 0.1828
Sn 0.0529 0.1058 0.3481
Sn 0.5000 0.0000 0.5000
Sn 0.6509 0.3019 0.9218
Sn 0.3491 0.6981 0.0782
Sn 0.3632 0.7263 0.8172
Sn 0.7714 0.5428 0.6281
Pr 0.8552 0.7104 0.3117
Pr 0.1448 0.2896 0.6883
Pr 0.0000 0.0000 0.0000

Stability check: which of them is most stable? *2*.

*1*
The following is a PBE-GGA calculation of a geometry-optimized SrPr2Ru structure, from Alexandria via LeMat-Bulk.

Calculated values
Total magnetization ... 0.00 μB per cell
Crystal system ... tetragonal

Unit cell a=3.5910 b=3.5910 c=10.3239 alpha=90.00 beta=90.00 gamma=90.00
Element x y z (fractional)
Pr 0.0000 0.0000 0.1643
Pr 0.0000 0.0000 0.8357
Sr 0.5000 0.5000 0.5000
Ru 0.5000 0.5000 0.0000

*2*
The following is a PBE-GGA calculation of a geometry-optimized SrPr2Ru structure, from Alexandria via LeMat-Bulk.

Calculated values
Total magnetization ... 0.00 μB per cell
Crystal system ... trigonal

Unit cell a=4.2044 b=4.2044 c=9.9401 alpha=77.79 beta=77.79 gamma=60.00
Element x y z (fractional)
Pr 0.0510 0.0510 0.8471
Pr 0.2819 0.2819 0.1543
Sr 0.5008 0.5008 0.4976
Ru 0.6663 0.6663 0.0010

Stability check: which of them is most stable? *2*.

*1*
The following is a PBE-GGA calculation of a geometry-optimized SrPrRu structure, from Alexandria via LeMat-Bulk.

Calculated values
Total magnetization ... 0.00 μB per cell
Crystal system ... tetragonal

Unit cell a=3.6046 b=3.6046 c=7.4530 alpha=103.99 beta=103.99 gamma=90.00
Element x y z (fractional)
Sr 0.0372 0.0372 0.0743
Ru 0.6784 0.6784 0.3568
Pr 0.2844 0.2844 0.5689

*2*
The following is a PBE-GGA calculation of a geometry-optimized SrPrRu structure, from Alexandria via LeMat-Bulk.

Calculated values
Total magnetization ... 0.00 μB per cell
Crystal system ... monoclinic

Unit cell a=6.1100 b=9.2681 c=10.0193 alpha=90.00 beta=138.13 gamma=90.00
Element x y z (fractional)
Pr 0.1129 0.1155 0.6858
Pr 0.8871 0.8845 0.3142
Pr 0.3871 0.6155 0.3142
Pr 0.6129 0.3845 0.6858
Ru 0.3785 0.0923 0.5270
Ru 0.1215 0.5923 0.4730
Ru 0.8785 0.4077 0.5270
Ru 0.6215 0.9077 0.4730
Sr 0.2628 0.1551 0.1806
Sr 0.7628 0.3449 0.1806
Sr 0.7372 0.8449 0.8194
Sr 0.2372 0.6551 0.8194

Stability check: which of them is most stable? *1*.

*1*
The following is a PBE-GGA calculation of a geometry-optimized TbPr3Ru structure, from Alexandria via LeMat-Bulk.

Calculated values
Total magnetization ... 0.00 μB per cell
Crystal system ... orthorhombic

Unit cell a=7.5465 b=7.5465 c=7.5465 alpha=101.77 beta=119.59 gamma=107.59
Element x y z (fractional)
Pr 0.0507 0.7826 0.7681
Pr 0.0309 0.2408 0.7084
Pr 0.0145 0.2826 0.2319
Pr 0.5325 0.7408 0.7100
Pr 0.5325 0.3225 0.2916
Pr 0.0309 0.8225 0.2900
Ru 0.5339 0.0317 0.0023
Ru 0.0294 0.5317 0.9977
Tb 0.5607 0.2807 0.7799
Tb 0.5008 0.7807 0.2201

*2*
The following is a PBE-GGA calculation of a geometry-optimized TbPr3Ru structure, from Alexandria via LeMat-Bulk.

Calculated values
Total magnetization ... 0.00 μB per cell
Crystal system ... cubic

Unit cell a=5.5675 b=5.5675 c=5.5675 alpha=90.00 beta=90.00 gamma=90.00
Element x y z (fractional)
Ru 0.0000 0.0000 0.0000
Tb 0.5000 0.5000 0.5000
Pr 0.0000 0.0000 0.5000
Pr 0.5000 0.0000 0.0000
Pr 0.0000 0.5000 0.0000

Stability check: which of them is most stable? *1*.

*1*
The following is a PBE-GGA calculation of a geometry-optimized TbPrRu structure, from Alexandria via LeMat-Bulk.

Calculated values
Total magnetization ... 0.00 μB per cell
Crystal system ... tetragonal

Unit cell a=4.3778 b=8.6347 c=8.6347 alpha=90.00 beta=90.00 gamma=90.00
Element x y z (fractional)
Ru 0.0000 0.0886 0.6258
Ru 0.5000 0.3742 0.0886
Ru 0.0000 0.9114 0.3742
Ru 0.5000 0.6258 0.9114
Pr 0.0000 0.4430 0.7830
Pr 0.0000 0.5570 0.2170
Pr 0.5000 0.2170 0.4430
Pr 0.5000 0.7830 0.5570
Tb 0.5000 0.8749 0.1703
Tb 0.0000 0.8297 0.8749
Tb 0.0000 0.1703 0.1251
Tb 0.5000 0.1251 0.8297

*2*
The following is a PBE-GGA calculation of a geometry-optimized TbPrRu structure, from Alexandria via LeMat-Bulk.

Calculated values
Total magnetization ... 0.00 μB per cell
Crystal system ... tetragonal

Unit cell a=3.4690 b=3.4690 c=7.1621 alpha=104.02 beta=104.02 gamma=90.00
Element x y z (fractional)
Ru 0.6716 0.6716 0.3432
Tb 0.2898 0.2898 0.5796
Pr 0.0386 0.0386 0.0772

*3*
The following is a PBE-GGA calculation of a geometry-optimized TbPrRu structure, from Alexandria via LeMat-Bulk.

Calculated values
Total magnetization ... 0.00 μB per cell
Crystal system ... monoclinic

Unit cell a=4.3049 b=6.1761 c=6.7256 alpha=106.95 beta=90.00 gamma=90.00
Element x y z (fractional)
Tb 0.2522 0.0174 0.2136
Tb 0.7523 0.9903 0.7897
Pr 0.7521 0.5594 0.2935
Pr 0.2524 0.4483 0.7097
Ru 0.2523 0.8420 0.5436
Ru 0.7522 0.1658 0.4596

Stability check: which of them is most stable? *2*.

*1*
The following is a PBE-GGA calculation of a geometry-optimized TbPr2Ru structure, from Alexandria via LeMat-Bulk.

Calculated values
Total magnetization ... 0.00 μB per cell
Crystal system ... trigonal

Unit cell a=3.6578 b=3.6578 c=10.8799 alpha=80.32 beta=80.32 gamma=60.00
Element x y z (fractional)
Ru 0.5000 0.5000 0.5000
Tb 0.0000 0.0000 0.0000
Pr 0.8933 0.8933 0.3200
Pr 0.1067 0.1067 0.6800

*2*
The following is a PBE-GGA calculation of a geometry-optimized TbPr2Ru structure, from Alexandria via LeMat-Bulk.

Calculated values
Total magnetization ... 0.00 μB per cell
Crystal system ... orthorhombic

Unit cell a=4.0440 b=6.4276 c=9.4673 alpha=90.00 beta=90.00 gamma=108.31
Element x y z (fractional)
Tb 0.0828 0.1655 0.7500
Tb 0.9172 0.8345 0.2500
Pr 0.3591 0.7184 0.5689
Pr 0.3591 0.7184 0.9311
Pr 0.6409 0.2816 0.4311
Pr 0.6409 0.2816 0.0689
Ru 0.2597 0.5196 0.2500
Ru 0.7403 0.4804 0.7500

*3*
The following is a PBE-GGA calculation of a geometry-optimized TbPr2Ru structure, from Alexandria via LeMat-Bulk.

Calculated values
Total magnetization ... 0.00 μB per cell
Crystal system ... tetragonal

Unit cell a=3.5404 b=3.5404 c=9.2891 alpha=90.00 beta=90.00 gamma=90.00
Element x y z (fractional)
Ru 0.5000 0.5000 0.0000
Pr 0.0000 0.0000 0.1868
Pr 0.0000 0.0000 0.8132
Tb 0.5000 0.5000 0.5000

*4*
The following is a PBE-GGA calculation of a geometry-optimized TbPr2Ru structure, from Alexandria via LeMat-Bulk.

Calculated values
Total magnetization ... 0.00 μB per cell
Crystal system ... orthorhombic

Unit cell a=6.4261 b=7.3928 c=9.7951 alpha=90.00 beta=90.00 gamma=90.00
Element x y z (fractional)
Pr 0.3291 0.1765 0.4338
Pr 0.6709 0.8235 0.5662
Pr 0.1709 0.6765 0.0662
Pr 0.3291 0.1765 0.0662
Pr 0.8291 0.3235 0.5662
Pr 0.8291 0.3235 0.9338
Pr 0.6709 0.8235 0.9338
Pr 0.1709 0.6765 0.4338
Tb 0.8522 0.0440 0.2500
Tb 0.6478 0.5440 0.2500
Tb 0.3522 0.4560 0.7500
Tb 0.1478 0.9560 0.7500
Ru 0.0426 0.3844 0.2500
Ru 0.9574 0.6156 0.7500
Ru 0.5426 0.1156 0.7500
Ru 0.4574 0.8844 0.2500

Stability check: which of them is most stable? *4*.

*1*
The following is a PBE-GGA calculation of a geometry-optimized TbPrZnRu structure, from Alexandria via LeMat-Bulk.

Calculated values
Total magnetization ... 0.00 μB per cell
Crystal system ... cubic

Unit cell a=5.0326 b=5.0326 c=5.0326 alpha=60.00 beta=60.00 gamma=60.00
Element x y z (fractional)
Tb 0.0000 0.0000 0.0000
Ru 0.2500 0.2500 0.2500
Pr 0.5000 0.5000 0.5000
Zn 0.7500 0.7500 0.7500

*2*
The following is a PBE-GGA calculation of a geometry-optimized TbPrZnRu structure, from Alexandria via LeMat-Bulk.

Calculated values
Total magnetization ... 0.00 μB per cell
Crystal system ... orthorhombic

Unit cell a=4.0673 b=4.3201 c=5.7558 alpha=90.00 beta=110.69 gamma=90.00
Element x y z (fractional)
Pr 0.8540 0.5000 0.7080
Zn 0.4339 0.0000 0.8678
Tb 0.1363 0.0000 0.2725
Ru 0.5759 0.5000 0.1517

Stability check: which of them is most stable? *2*.

*1*
The following is a PBE-GGA calculation of a geometry-optimized Pr2ThRu structure, from Alexandria via LeMat-Bulk.

Calculated values
Total magnetization ... 0.00 μB per cell
Crystal system ... trigonal

Unit cell a=3.5422 b=3.5422 c=11.2510 alpha=80.94 beta=80.94 gamma=60.00
Element x y z (fractional)
Pr 0.8943 0.8943 0.3170
Pr 0.1057 0.1057 0.6830
Th 0.0000 0.0000 0.0000
Ru 0.5000 0.5000 0.5000

*2*
The following is a PBE-GGA calculation of a geometry-optimized Pr2ThRu structure, from Alexandria via LeMat-Bulk.

Calculated values
Total magnetization ... 0.00 μB per cell
Crystal system ... orthorhombic

Unit cell a=6.5496 b=7.3268 c=10.1075 alpha=90.00 beta=90.00 gamma=90.00
Element x y z (fractional)
Th 0.1691 0.9476 0.7500
Th 0.6691 0.5524 0.2500
Th 0.8309 0.0524 0.2500
Th 0.3309 0.4476 0.7500
Pr 0.8250 0.3294 0.9334
Pr 0.3250 0.1706 0.4334
Pr 0.8250 0.3294 0.5666
Pr 0.6750 0.8294 0.9334
Pr 0.3250 0.1706 0.0666
Pr 0.1750 0.6706 0.4334
Pr 0.6750 0.8294 0.5666
Pr 0.1750 0.6706 0.0666
Ru 0.9830 0.6339 0.7500
Ru 0.5170 0.1339 0.7500
Ru 0.0170 0.3661 0.2500
Ru 0.4830 0.8661 0.2500

Stability check: which of them is most stable? *2*.